# 1
! PBE-GGA YHfHgB2, optimized geometry; values from VASP
&SYSTEM
  ibrav = 0, nat = 5, ntyp = 4
/
ATOMIC_SPECIES
Y 88.91 Y.upf
B 10.81 B.upf
Hf 178.49 Hf.upf
Hg 200.59 Hg.upf
CELL_PARAMETERS angstrom
-0.237 -1.096 -4.215
-3.383 -4.131 1.264
-3.426 2.653 -0.497
ATOMIC_POSITIONS angstrom
Y -1.692 -2.066 0.632
B -1.713 1.327 -0.249
B -0.119 -0.548 -2.107
Hf -3.523 -1.287 -1.724
Hg 0.000 0.000 0.000
! Spin magnetization, μB/f.u.: 0.0
! Density, g cm⁻³: 7.8
! E, eV per cell: -21.700
! Energy of formation, meV/atom: 1675

# 2
! PBE-GGA Re3AgP, optimized geometry; values from VASP
&SYSTEM
  ibrav = 0, nat = 5, ntyp = 3
/
ATOMIC_SPECIES
Re 186.21 Re.upf
Ag 107.87 Ag.upf
P 30.97 P.upf
CELL_PARAMETERS angstrom
-1.097 -3.987 -1.474
0.951 -1.714 3.928
-4.143 0.662 1.292
ATOMIC_POSITIONS angstrom
Re 0.475 -0.857 1.964
Re -2.072 0.331 0.646
Re -0.548 -1.994 -0.737
Ag -2.145 -2.520 1.873
P 0.000 0.000 0.000
! Spin magnetization, μB/f.u.: 0.0
! Density, g cm⁻³: 13.7
! E, eV per cell: -40.581
! Energy of formation, meV/atom: 1005

# 3
! PBE-GGA KSc2Hg, optimized geometry; values from VASP
&SYSTEM
  ibrav = 0, nat = 8, ntyp = 3
/
ATOMIC_SPECIES
Sc 44.96 Sc.upf
K 39.10 K.upf
Hg 200.59 Hg.upf
CELL_PARAMETERS angstrom
5.816 0.000 0.000
0.000 5.816 0.000
2.908 2.908 9.868
ATOMIC_POSITIONS angstrom
Sc 5.830 1.454 2.467
Sc 5.802 4.362 2.467
Sc 4.362 2.894 7.401
Sc 7.269 2.922 7.401
K 2.908 2.908 0.000
K 2.908 5.816 4.934
Hg 0.000 0.000 0.000
Hg 5.816 2.908 4.934
! Spin magnetization, μB/f.u.: 1.2
! Density, g cm⁻³: 3.3
! E, eV per cell: -23.278
! Energy of formation, meV/atom: 606

# 4
! PBE-GGA NaAg2HgAs, optimized geometry; values from VASP
&SYSTEM
  ibrav = 0, nat = 5, ntyp = 4
/
ATOMIC_SPECIES
Na 22.99 Na.upf
As 74.92 As.upf
Hg 200.59 Hg.upf
Ag 107.87 Ag.upf
CELL_PARAMETERS angstrom
-3.190 0.555 3.787
-0.630 -4.939 0.193
4.302 -0.405 3.684
ATOMIC_POSITIONS angstrom
Na 2.151 -0.202 1.842
As 0.000 0.000 0.000
Hg 0.241 -2.395 3.832
Ag -0.315 -2.470 0.097
Ag -1.595 0.277 1.894
! Spin magnetization, μB/f.u.: 0.0
! Density, g cm⁻³: 6.1
! E, eV per cell: -12.007
! Energy of formation, meV/atom: -7

# 5
! PBE-GGA AcMgZnIr, optimized geometry; values from VASP
&SYSTEM
  ibrav = 0, nat = 4, ntyp = 4
/
ATOMIC_SPECIES
Ac 227.00 Ac.upf
Mg 24.30 Mg.upf
Zn 65.41 Zn.upf
Ir 192.22 Ir.upf
CELL_PARAMETERS angstrom
-4.096 1.986 0.272
1.216 -2.205 -3.813
-1.467 -3.623 4.367
ATOMIC_POSITIONS angstrom
Ac -2.987 -1.123 1.446
Mg -1.580 -3.726 3.410
Zn -2.727 -0.145 -1.775
Ir -2.028 -4.302 0.860
! Spin magnetization, μB/f.u.: 0.0
! Density, g cm⁻³: 8.9
! E, eV per cell: -17.456
! Energy of formation, meV/atom: -405

> What is the spin magnetization in the second record?

0.0 μB/f.u.